First-principles (PBE-GGA) data for crystalline TbThIrPt at its relaxed geometry, as listed in Alexandria.

Lattice parameters (Å, degrees): 5.021 5.021 5.021 60.00 60.00 60.00
Sites, in units of the cell vectors:
Tb1 0.000 0.000 0.000
Th1 0.500 0.500 0.500
Ir1 0.750 0.750 0.750
Pt1 0.250 0.250 0.250

The value obtained for the formation energy is -0.930 eV per atom. The calculation puts the total energy at -30.67 eV per formula unit. The total moment is 0.0 μB/cell. For the polymorph energy (0 for the lowest one), the calculation gives 0.191 eV/atom. Its space group is F-43m, No. 216.



First-principles (PBE-GGA) data for crystalline TbThIrPt at its relaxed geometry, as listed in Alexandria.

Lattice parameters (Å, degrees): 4.312 5.873 5.873 38.37 90.00 90.00
Sites, in units of the cell vectors:
Tb1 0.000 0.000 0.000
Th1 0.500 0.724 0.724
Ir1 0.000 0.264 0.264
Pt1 0.500 0.451 0.451

The value obtained for the formation energy is -1.122 eV per atom. The calculation puts the total energy at -31.44 eV per formula unit. The total moment is 0.0 μB/cell. For the polymorph energy (0 for the lowest one), the calculation gives 0.000 eV/atom. Its space group is Amm2, No. 38.